No. 1
# CdSbIr

A relaxed structure of CdSbIr (PBE, Alexandria via LeMat-Bulk).

a = 5.4022 Å, b = 5.4022 Å, c = 5.4022 Å
α = 141.41°, β = 141.38°, γ = 55.75°
Positions (direct):
Cd 0.0038 0.0038 0.0000
Sb 0.3039 0.3039 0.0000
Ir 0.6923 0.6923 0.0000

Density of states at the Fermi level = 0.932 states/eV/f.u.
Space-group type = I4mm
Total energy = -0.165 Ha/atom
Volume = 20.3 A^3/atom
ΔE_f (raw) = 0.1463 eV per atom

---

No. 2
# Cd2SbIr

A relaxed structure of Cd2SbIr (PBE, Alexandria via LeMat-Bulk).

a = 6.9841 Å, b = 6.9841 Å, c = 6.9841 Å
α = 154.65°, β = 141.00°, γ = 47.09°
Positions (direct):
Ir 0.4900 0.4900 0.0000
Sb 0.3191 0.8191 0.5000
Cd 0.0112 0.0112 0.0000
Cd 0.6797 0.1797 0.5000

Density of states at the Fermi level = 2.229 states/eV/f.u.
Space-group type = Imm2
Total energy = -0.136 Ha/atom
Volume = 22.9 A^3/atom
ΔE_f (raw) = 0.0109 eV per atom